Record 1
PmTmScTl: optimized geometry, PBE-GGA.

a = 4.7375 Å, b = 4.7711 Å, c = 4.8076 Å
α = 90.00°, β = 90.00°, γ = 90.00°
Closest atoms and distances in Å follow each position.
Fractional coordinates of all 4 atoms:
Pm (0.0000, 0.0000, 0.0000)  4 Sc 3.36, 4 Tm 3.37, 4 Tl 3.39
Tm (0.5000, 0.0000, 0.5000)  4 Tl 3.36, 4 Pm 3.37, 4 Sc 3.39
Sc (0.5000, 0.5000, 0.0000)  4 Pm 3.36, 4 Tl 3.37, 4 Tm 3.39
Tl (0.0000, 0.5000, 0.5000)  4 Tm 3.36, 4 Sc 3.37, 4 Pm 3.39

* formation energy from the elements: -0.17 eV/atom
* space group: Pmmm
* E above lowest polymorph: 0.000 eV per formula unit

Record 2
Dy4AgHgAu2: optimized geometry, PBE-GGA.

a = 8.9171 Å, b = 8.9171 Å, c = 8.9171 Å
α = 33.49°, β = 33.49°, γ = 33.49°
Closest atoms and distances in Å follow each position.
Fractional coordinates of all 8 atoms:
Dy (0.1234, 0.1234, 0.1234)  1 Ag 3.11, 4 Au 3.13-3.19, 3 Hg 3.16
Dy (0.3737, 0.3737, 0.3737)  4 Au 3.12-3.16, 3 Ag 3.14, 1 Hg 3.19
Dy (0.6263, 0.6263, 0.6263)  4 Au 3.12-3.16, 3 Ag 3.14, 1 Hg 3.19
Dy (0.8766, 0.8766, 0.8766)  1 Ag 3.11, 4 Au 3.13-3.19, 3 Hg 3.16
Ag (0.0000, 0.0000, 0.0000)  8 Dy 3.11-3.14
Hg (0.5000, 0.5000, 0.5000)  8 Dy 3.16-3.19
Au (0.2500, 0.2500, 0.2500)  8 Dy 3.12-3.19
Au (0.7500, 0.7500, 0.7500)  8 Dy 3.12-3.19

* formation energy from the elements: -0.63 eV/atom
* space group: R-3m